# 1
This record from the Alexandria database describes an optimized crystal structure of Hf2Sb2Te. The functional is PBE.

Computed properties:
Volume: 565.5 Å³ per cell
E_tot: -0.4898 Ry/atom
Formation energy from raw total energies: -2.0 eV/f.u.

```
20
Lattice="8.0124 0.0000 0.0000 0.0000 5.7738 0.0000 0.0000 0.0000 12.2232" Properties=species:S:1:pos:R:3 pbc="T T T"
Hf 0.9498 1.4435 3.0166
Hf 0.9901 1.4435 11.1858
Hf 3.0161 4.3304 5.0742
Hf 3.0564 4.3304 9.1282
Hf 4.9560 1.4435 3.0950
Hf 4.9963 1.4435 7.1491
Hf 7.0222 4.3304 1.0375
Hf 7.0626 4.3304 9.2066
Sb 0.9889 4.3304 3.0456
Sb 1.1598 4.3304 11.3135
Sb 2.8464 1.4435 5.2019
Sb 3.0173 1.4435 9.1572
Sb 4.9951 4.3304 3.0660
Sb 5.1660 4.3304 7.0213
Sb 6.8526 1.4435 0.9097
Sb 7.0234 1.4435 9.1777
Te 1.0233 4.3304 7.1283
Te 2.9829 1.4435 1.0167
Te 5.0294 4.3304 11.2065
Te 6.9891 1.4435 5.0949
```


# 2
This record from the Alexandria database describes an optimized crystal structure of ReNi2HIr. The functional is PBE.

Computed properties:
Volume: 53.8 Å³ per cell
E_tot: -0.5228 Ry/atom

```
5
Lattice="3.7694 0.0000 0.0000 0.0000 3.7694 0.0000 0.0000 0.0000 3.7840" Properties=species:S:1:pos:R:3 pbc="T T T"
Re 0.0000 0.0000 0.0000
Ni 0.0000 1.8847 1.8920
Ni 1.8847 0.0000 1.8920
H 0.0000 0.0000 1.8920
Ir 1.8847 1.8847 0.0000
```